No. 1
Material: Dy4YIn2
Method: DFT, PBE
State: optimized geometry

Properties
Energy relative to the elements = -133.0 meV/atom
Calculated density = 7.40 Mg/m³
Energy above the most stable polymorph in this dataset = 0 meV/atom
Space group = P4_2/mnm, No. 136

Cell: 9.0350 9.0350 5.3221 Å, 90.00 90.00 90.00°
With the nearest neighbours (Å) after each atom.
Fractional coordinates of all 14 atoms:
Dy: 0.0802 0.3340 0.0000  3 In 3.08-3.16, 2 Dy 3.24-3.33
Dy: 0.1660 0.5802 0.5000  3 In 3.08-3.16, 2 Dy 3.24-3.33
Dy: 0.3340 0.0802 0.0000  3 In 3.08-3.16, 2 Dy 3.24-3.33
Dy: 0.4198 0.8340 0.5000  3 In 3.08-3.16, 2 Dy 3.24-3.33
Dy: 0.5802 0.1660 0.5000  3 In 3.08-3.16, 2 Dy 3.24-3.33
Dy: 0.6660 0.9198 0.0000  3 In 3.08-3.16, 2 Dy 3.24-3.33
Dy: 0.8340 0.4198 0.5000  3 In 3.08-3.16, 2 Dy 3.24-3.33
Dy: 0.9198 0.6660 0.0000  3 In 3.08-3.16, 2 Dy 3.24-3.33
Y: 0.0000 0.0000 0.5000  2 In 3.19
Y: 0.5000 0.5000 0.0000  2 In 3.19
In: 0.2494 0.2494 0.5000  6 Dy 3.08-3.16, 1 Y 3.19
In: 0.2506 0.7494 0.0000  6 Dy 3.08-3.16, 1 Y 3.19
In: 0.7494 0.2506 0.0000  6 Dy 3.08-3.16, 1 Y 3.19
In: 0.7506 0.7506 0.5000  6 Dy 3.08-3.16, 1 Y 3.19


No. 2
Material: Ac3In3Ga
Method: DFT, PBE
State: optimized geometry

Properties
Energy relative to the elements = -465.7 meV/atom
Calculated density = 7.95 Mg/m³
Space group = C2/m, No. 12

Cell: 6.6277 6.6277 16.1872 Å, 107.25 107.25 42.74°
With the nearest neighbours (Å) after each atom.
Fractional coordinates of all 14 atoms:
Ac: 0.0159 0.0159 0.3849  7 In 3.47-3.79, 3 Ga 3.53-3.60, 1 Ac 3.87
Ac: 0.1105 0.1105 0.9239  7 In 3.48-3.59
Ac: 0.2354 0.2354 0.2335  2 Ga 3.43, 6 In 3.48-3.61
Ac: 0.7646 0.7646 0.7665  2 Ga 3.43, 6 In 3.48-3.61
Ac: 0.8895 0.8895 0.0761  7 In 3.48-3.59
Ac: 0.9841 0.9841 0.6151  7 In 3.47-3.79, 3 Ga 3.53-3.60, 1 Ac 3.87
In: 0.3399 0.3399 0.4602  3 Ga 2.90-2.92
In: 0.3940 0.3940 0.9216  2 In 3.01
In: 0.4831 0.4831 0.7685  1 Ga 2.89, 1 In 3.01
In: 0.5169 0.5169 0.2315  1 Ga 2.89, 1 In 3.01
In: 0.6060 0.6060 0.0784  2 In 3.01
In: 0.6601 0.6601 0.5398  3 Ga 2.90-2.92
Ga: 0.2774 0.2774 0.6198  4 In 2.89-2.92
Ga: 0.7226 0.7226 0.3802  4 In 2.89-2.92


No. 3
Material: Li2TcAgCl8
Method: DFT, PBE
State: optimized geometry

Properties
Uncorrected formation energy = -1111 kJ/mol of formula units
Calculated density = 2.79 Mg/m³
Space group = P-1, No. 2

Cell: 6.2590 6.3069 7.8233 Å, 84.59 84.49 77.94°
With the nearest neighbours (Å) after each atom.
Fractional coordinates of all 12 atoms:
Li: 0.0552 0.0550 0.2477  5 Cl 2.50-2.60
Li: 0.9448 0.9450 0.7523  5 Cl 2.50-2.60
Tc: 0.5000 0.5000 0.0000  6 Cl 2.34-2.39
Ag: 0.5000 0.5000 0.5000  4 Cl 2.43-2.60
Cl: 0.1954 0.8097 0.4999  1 Ag 2.43, 2 Li 2.50
Cl: 0.2020 0.8057 0.9987  1 Tc 2.39, 2 Li 2.60
Cl: 0.3087 0.3205 0.2252  1 Tc 2.37, 1 Li 2.52
Cl: 0.3408 0.3478 0.7951  1 Tc 2.34, 1 Ag 2.60
Cl: 0.6592 0.6522 0.2049  1 Tc 2.34, 1 Ag 2.60
Cl: 0.6913 0.6795 0.7748  1 Tc 2.37, 1 Li 2.52
Cl: 0.7980 0.1943 0.0013  1 Tc 2.39, 2 Li 2.60
Cl: 0.8046 0.1903 0.5001  1 Ag 2.43, 2 Li 2.50


No. 4
Material: ScCuOs
Method: DFT, PBE
State: optimized geometry

Properties
Energy relative to the elements = 356.1 meV/atom
Calculated density = 9.51 Mg/m³
Energy above the most stable polymorph in this dataset = 668 meV/atom
Space group = F-43m, No. 216

Cell: 5.9319 5.9319 5.9319 Å, 90.00 90.00 90.00°
With the nearest neighbours (Å) after each atom.
Fractional coordinates of all 12 atoms:
Sc: 0.0000 0.0000 0.0000  4 Cu 2.57
Sc: 0.0000 0.5000 0.5000  4 Cu 2.57
Sc: 0.5000 0.0000 0.5000  4 Cu 2.57
Sc: 0.5000 0.5000 0.0000  4 Cu 2.57
Cu: 0.2500 0.2500 0.2500  4 Os 2.57, 4 Sc 2.57
Cu: 0.2500 0.7500 0.7500  4 Os 2.57, 4 Sc 2.57
Cu: 0.7500 0.2500 0.7500  4 Os 2.57, 4 Sc 2.57
Cu: 0.7500 0.7500 0.2500  4 Os 2.57, 4 Sc 2.57
Os: 0.0000 0.0000 0.5000  4 Cu 2.57
Os: 0.0000 0.5000 0.0000  4 Cu 2.57
Os: 0.5000 0.0000 0.0000  4 Cu 2.57
Os: 0.5000 0.5000 0.5000  4 Cu 2.57


No. 5
Material: PmCd2Pd6
Method: DFT, PBE
State: optimized geometry

Properties
Energy relative to the elements = -223.4 meV/atom
Calculated density = 9.47 Mg/m³
Space group = Immm, No. 71

Cell: 7.7172 7.7172 7.7172 Å, 146.52 135.37 56.92°
With the nearest neighbours (Å) after each atom.
Fractional coordinates of all 9 atoms:
Pm: 0.0000 0.0000 0.0000  4 Pd 2.76
Cd: 0.3763 0.8763 0.5000  10 Pd 2.84-3.07
Cd: 0.6237 0.1237 0.5000  10 Pd 2.84-3.07
Pd: 0.0509 0.3052 0.7457  4 Pd 2.65-2.88, 3 Cd 2.84-2.85
Pd: 0.2790 0.5000 0.7790  3 Pd 2.59-2.65, 2 Pm 2.76
Pd: 0.4405 0.6948 0.7457  4 Pd 2.65-2.88, 3 Cd 2.84-2.85
Pd: 0.5595 0.3052 0.2543  4 Pd 2.65-2.88, 3 Cd 2.84-2.85
Pd: 0.7210 0.5000 0.2210  3 Pd 2.59-2.65, 2 Pm 2.76
Pd: 0.9491 0.6948 0.2543  4 Pd 2.65-2.88, 3 Cd 2.84-2.85


No. 6
Material: NaTi2Se4
Method: DFT, PBE
State: optimized geometry

Properties
Uncorrected formation energy = -727 kJ/mol of formula units
Calculated density = 4.80 Mg/m³
Energy above the most stable polymorph in this dataset = 104 meV/atom
Space group = Cmcm, No. 63

Cell: 6.4574 6.4574 13.1119 Å, 90.00 90.00 146.65°
With the nearest neighbours (Å) after each atom.
Fractional coordinates of all 14 atoms:
Na: 0.1114 0.8886 0.7500  6 Se 2.92-2.99
Na: 0.8886 0.1114 0.2500  6 Se 2.92-2.99
Ti: 0.3689 0.6311 0.5679  6 Se 2.50-2.63
Ti: 0.3689 0.6311 0.9321  6 Se 2.50-2.63
Ti: 0.6311 0.3689 0.0679  6 Se 2.50-2.63
Ti: 0.6311 0.3689 0.4321  6 Se 2.50-2.63
Se: 0.0000 0.0000 0.0000  4 Ti 2.62
Se: 0.0000 0.0000 0.5000  4 Ti 2.62
Se: 0.2708 0.7292 0.1100  3 Ti 2.59-2.63
Se: 0.2708 0.7292 0.3900  3 Ti 2.59-2.63
Se: 0.4286 0.5714 0.7500  2 Ti 2.50
Se: 0.5714 0.4286 0.2500  2 Ti 2.50
Se: 0.7292 0.2708 0.6100  3 Ti 2.59-2.63
Se: 0.7292 0.2708 0.8900  3 Ti 2.59-2.63


No. 7
Material: CrCuAs2
Method: DFT, PBE
State: optimized geometry

Properties
Energy relative to the elements = 72.0 meV/atom
Calculated density = 7.08 Mg/m³
Space group = Cm, No. 8

Cell: 9.6312 3.3717 3.8382 Å, 90.00 92.63 90.00°
With the nearest neighbours (Å) after each atom.
Fractional coordinates of all 8 atoms:
Cr: 0.0000 0.0000 0.0000  7 As 2.61-2.71, 2 Cu 2.64-2.66
Cr: 0.5000 0.5000 0.0000  7 As 2.61-2.71, 2 Cu 2.64-2.66
Cu: 0.1897 0.0000 0.5247  5 As 2.47-2.58, 2 Cr 2.64-2.66
Cu: 0.6897 0.5000 0.5247  5 As 2.47-2.58, 2 Cr 2.64-2.66
As: 0.2196 0.5000 0.0250  4 Cu 2.56-2.58, 3 Cr 2.70-2.71
As: 0.4453 0.0000 0.4941  1 Cu 2.47, 4 Cr 2.61
As: 0.7196 0.0000 0.0250  4 Cu 2.56-2.58, 3 Cr 2.70-2.71
As: 0.9453 0.5000 0.4941  1 Cu 2.47, 4 Cr 2.61


No. 8
Material: LaOsAu2
Method: DFT, PBE
State: optimized geometry

Properties
Energy relative to the elements = 250.3 meV/atom
Calculated density = 14.38 Mg/m³
Space group = F-43m, No. 216

Cell: 6.9378 6.9378 6.9378 Å, 90.00 90.00 90.00°
With the nearest neighbours (Å) after each atom.
Fractional coordinates of all 16 atoms:
La: 0.0000 0.0000 0.0000  4 Os 3.00, 4 Au 3.00
La: 0.0000 0.5000 0.5000  4 Os 3.00, 4 Au 3.00
La: 0.5000 0.0000 0.5000  4 Os 3.00, 4 Au 3.00
La: 0.5000 0.5000 0.0000  4 Os 3.00, 4 Au 3.00
Os: 0.2500 0.2500 0.2500  4 La 3.00, 4 Au 3.00
Os: 0.2500 0.7500 0.7500  4 La 3.00, 4 Au 3.00
Os: 0.7500 0.2500 0.7500  4 La 3.00, 4 Au 3.00
Os: 0.7500 0.7500 0.2500  4 La 3.00, 4 Au 3.00
Au: 0.0000 0.0000 0.5000  4 Os 3.00, 4 Au 3.00
Au: 0.0000 0.5000 0.0000  4 Os 3.00, 4 Au 3.00
Au: 0.2500 0.2500 0.7500  4 La 3.00, 4 Au 3.00
Au: 0.2500 0.7500 0.2500  4 La 3.00, 4 Au 3.00
Au: 0.5000 0.0000 0.0000  4 Os 3.00, 4 Au 3.00
Au: 0.5000 0.5000 0.5000  4 Os 3.00, 4 Au 3.00
Au: 0.7500 0.2500 0.2500  4 La 3.00, 4 Au 3.00
Au: 0.7500 0.7500 0.7500  4 La 3.00, 4 Au 3.00


No. 9
Material: LiH3Pt
Method: DFT, PBE
State: optimized geometry

Properties
Calculated density = 8.11 Mg/m³
Space group = C2/c, No. 15
Electronic total energy = -3.8331 eV/atom

Cell: 5.7615 5.7615 5.2885 Å, 99.12 99.12 99.33°
With the nearest neighbours (Å) after each atom.
Fractional coordinates of all 20 atoms:
Li: 0.0908 0.9092 0.7500  4 H 1.90-2.03
Li: 0.3276 0.6724 0.2500  8 H 2.15-2.36
Li: 0.6724 0.3276 0.7500  8 H 2.15-2.36
Li: 0.9092 0.0908 0.2500  4 H 1.90-2.03
H: 0.0306 0.8111 0.3818  1 Pt 1.65
H: 0.0581 0.5685 0.8943  1 Pt 1.60, 1 H 1.63
H: 0.1889 0.9694 0.1182  1 Pt 1.65
H: 0.3134 0.3439 0.3981  2 Pt 1.73-1.80
H: 0.3439 0.3134 0.8981  2 Pt 1.73-1.80
H: 0.4315 0.9419 0.6057  1 Pt 1.60, 1 H 1.63
H: 0.5685 0.0581 0.3943  1 Pt 1.60, 1 H 1.63
H: 0.6561 0.6866 0.1019  2 Pt 1.73-1.80
H: 0.6866 0.6561 0.6019  2 Pt 1.73-1.80
H: 0.8111 0.0306 0.8818  1 Pt 1.65
H: 0.9419 0.4315 0.1057  1 Pt 1.60, 1 H 1.63
H: 0.9694 0.1889 0.6182  1 Pt 1.65
Pt: 0.1753 0.4358 0.6708  3 H 1.60-1.73
Pt: 0.4358 0.1753 0.1708  3 H 1.60-1.73
Pt: 0.5642 0.8247 0.8292  3 H 1.60-1.73
Pt: 0.8247 0.5642 0.3292  3 H 1.60-1.73


No. 10
Material: PmNd9Th2
Method: DFT, PBE
State: optimized geometry

Properties
Energy relative to the elements = 43.1 meV/atom
Calculated density = 7.64 Mg/m³
Space group = P4/mmm, No. 123

Cell: 5.1681 5.1681 15.5297 Å, 90.00 90.00 90.00°
With the nearest neighbours (Å) after each atom.
Fractional coordinates of all 12 atoms:
Pm: 0.0000 0.0000 0.0000  12 Nd 3.65-3.69
Nd: 0.0000 0.5000 0.1699  8 Nd 3.63-3.69, 2 Th 3.63, 2 Pm 3.69
Nd: 0.0000 0.5000 0.5000  4 Th 3.65, 8 Nd 3.65
Nd: 0.0000 0.5000 0.8301  8 Nd 3.63-3.69, 2 Th 3.63, 2 Pm 3.69
Nd: 0.5000 0.0000 0.1699  8 Nd 3.63-3.69, 2 Th 3.63, 2 Pm 3.69
Nd: 0.5000 0.0000 0.5000  4 Th 3.65, 8 Nd 3.65
Nd: 0.5000 0.0000 0.8301  8 Nd 3.63-3.69, 2 Th 3.63, 2 Pm 3.69
Nd: 0.5000 0.5000 0.0000  4 Pm 3.65, 8 Nd 3.69
Nd: 0.5000 0.5000 0.3337  8 Nd 3.63-3.65, 4 Th 3.65
Nd: 0.5000 0.5000 0.6663  8 Nd 3.63-3.65, 4 Th 3.65
Th: 0.0000 0.0000 0.3339  12 Nd 3.63-3.65
Th: 0.0000 0.0000 0.6661  12 Nd 3.63-3.65


No. 11
Material: KHf2V
Method: DFT, PBE
State: optimized geometry

Properties
Energy relative to the elements = 1433.4 meV/atom
Calculated density = 4.88 Mg/m³
Energy above the most stable polymorph in this dataset = 281 meV/atom
Space group = I4_1/amd, No. 141

Cell: 7.5401 7.5401 10.6981 Å, 90.00 90.00 90.00°
With the nearest neighbours (Å) after each atom.
Fractional coordinates of all 16 atoms:
K: 0.0000 0.2500 0.3750  12 Hf 4.42-4.43, 4 K 4.62, 4 V 4.62
K: 0.0000 0.7500 0.6250  12 Hf 4.42-4.43, 4 K 4.62, 4 V 4.62
K: 0.5000 0.2500 0.1250  12 Hf 4.42-4.43, 4 K 4.62, 4 V 4.62
K: 0.5000 0.7500 0.8750  12 Hf 4.42-4.43, 4 K 4.62, 4 V 4.62
Hf: 0.0000 0.0000 0.0000  2 V 2.31
Hf: 0.0000 0.5000 0.0000  2 V 2.31
Hf: 0.2500 0.2500 0.7500  2 V 2.31
Hf: 0.2500 0.7500 0.2500  2 V 2.31
Hf: 0.5000 0.0000 0.5000  2 V 2.31
Hf: 0.5000 0.5000 0.5000  2 V 2.31
Hf: 0.7500 0.2500 0.7500  2 V 2.31
Hf: 0.7500 0.7500 0.2500  2 V 2.31
V: 0.0000 0.2500 0.8750  4 Hf 2.31
V: 0.0000 0.7500 0.1250  4 Hf 2.31
V: 0.5000 0.2500 0.6250  4 Hf 2.31
V: 0.5000 0.7500 0.3750  4 Hf 2.31


No. 12
Material: GaPSe2Br
Method: DFT, PBE
State: optimized geometry

Properties
Uncorrected formation energy = 301 kJ/mol of formula units
Calculated density = 4.44 Mg/m³
Energy above the most stable polymorph in this dataset = 458 meV/atom
Space group = P4/mmm, No. 123

Cell: 5.0572 5.0572 4.9448 Å, 90.00 90.00 90.00°
With the nearest neighbours (Å) after each atom.
Fractional coordinates of all 5 atoms:
Ga: 0.0000 0.0000 0.0000  2 Br 2.47, 4 Se 2.53
P: 0.5000 0.5000 0.5000  8 Se 3.54, 4 Br 3.58
Se: 0.0000 0.5000 0.0000  2 Ga 2.53
Se: 0.5000 0.0000 0.0000  2 Ga 2.53
Br: 0.0000 0.0000 0.5000  2 Ga 2.47